1.
{
  "formula": "KPdO",
  "functional": "PBE-GGA",
  "state": "relaxed",
  "magmom_total_mub_per_cell": 0.8,
  "energy_ev_per_atom": -4.532,
  "lattice": [[2.691, -5.110, 0.000], [2.691, 5.110, 0.000], [0.000, 0.000, 5.270]],
  "species": ["K", "K", "Pd", "Pd", "O", "O"],
  "frac_coords": [[0.194, 0.806, 0.750], [0.806, 0.194, 0.250], [0.500, 0.500, 0.000], [0.500, 0.500, 0.500], [0.355, 0.645, 0.250], [0.645, 0.355, 0.750]]
}

=====

2.
{
  "formula": "K3PdO3",
  "functional": "PBE-GGA",
  "state": "relaxed",
  "magmom_total_mub_per_cell": 1.0,
  "de_polymorph_mev_per_atom": 74,
  "energy_ev_per_atom": -4.208,
  "lattice": [[5.429, 3.135, 1.579], [-5.429, 3.135, 1.579], [0.000, -6.269, 1.579]],
  "species": ["K", "K", "K", "Pd", "O", "O", "O"],
  "frac_coords": [[0.169, 0.169, 0.662], [0.169, 0.662, 0.169], [0.662, 0.169, 0.169], [0.817, 0.817, 0.817], [0.044, 0.735, 0.735], [0.735, 0.044, 0.735], [0.735, 0.735, 0.044]]
}

=====

3.
{
  "formula": "KPd4O8",
  "functional": "PBE-GGA",
  "state": "relaxed",
  "magmom_total_mub_per_cell": 0.9,
  "energy_ev_per_atom": -5.282,
  "lattice": [[3.123, 1.803, 6.491], [-3.123, 1.803, 6.491], [0.000, -3.606, 6.491]],
  "species": ["K", "Pd", "Pd", "Pd", "Pd", "O", "O", "O", "O", "O", "O", "O", "O"],
  "frac_coords": [[0.000, 0.000, 0.000], [0.000, 0.000, 0.500], [0.000, 0.500, 0.000], [0.500, 0.000, 0.000], [0.500, 0.500, 0.500], [0.212, 0.721, 0.721], [0.218, 0.218, 0.218], [0.279, 0.279, 0.788], [0.279, 0.788, 0.279], [0.721, 0.212, 0.721], [0.721, 0.721, 0.212], [0.782, 0.782, 0.782], [0.788, 0.279, 0.279]]
}

=====

4.
{
  "formula": "KPd2O4",
  "functional": "PBE-GGA",
  "state": "relaxed",
  "magmom_total_mub_per_cell": 0.4,
  "energy_ev_per_atom": -5.028,
  "lattice": [[-3.244, 3.244, 5.153], [3.244, -3.244, 5.153], [3.244, 3.244, -5.153]],
  "species": ["K", "K", "Pd", "Pd", "Pd", "Pd", "O", "O", "O", "O", "O", "O", "O", "O"],
  "frac_coords": [[0.375, 0.125, 0.250], [0.625, 0.875, 0.750], [0.000, 0.000, 0.500], [0.000, 0.500, 0.000], [0.000, 0.500, 0.500], [0.500, 0.500, 0.000], [0.012, 0.663, 0.847], [0.163, 0.817, 0.652], [0.317, 0.165, 0.653], [0.335, 0.488, 0.152], [0.665, 0.512, 0.848], [0.683, 0.835, 0.347], [0.837, 0.183, 0.348], [0.988, 0.337, 0.153]]
}

=====

5.
{
  "formula": "K3PdO",
  "functional": "PBE-GGA",
  "state": "relaxed",
  "magmom_total_mub_per_cell": 0.0,
  "energy_ev_per_atom": -3.096,
  "lattice": [[3.710, -7.107, 0.000], [3.710, 7.107, 0.000], [0.000, 0.000, 6.101]],
  "species": ["K", "K", "K", "K", "K", "K", "Pd", "Pd", "O", "O"],
  "frac_coords": [[0.108, 0.892, 0.500], [0.112, 0.437, 0.469], [0.437, 0.112, 0.969], [0.563, 0.888, 0.469], [0.888, 0.563, 0.969], [0.892, 0.108, 0.000], [0.362, 0.638, 0.947], [0.638, 0.362, 0.447], [0.244, 0.756, 0.756], [0.756, 0.244, 0.256]]
}

=====

6.
{
  "formula": "K2Pd2O",
  "functional": "PBE-GGA",
  "state": "relaxed",
  "magmom_total_mub_per_cell": 0.0,
  "de_polymorph_mev_per_atom": 540,
  "energy_ev_per_atom": -3.176,
  "lattice": [[6.420, 0.000, 0.000], [0.000, 6.420, 0.000], [0.000, 0.000, 5.713]],
  "species": ["K", "K", "K", "K", "Pd", "Pd", "Pd", "Pd", "O", "O"],
  "frac_coords": [[0.160, 0.340, 0.000], [0.340, 0.840, 0.000], [0.660, 0.160, 0.000], [0.840, 0.660, 0.000], [0.155, 0.655, 0.500], [0.345, 0.155, 0.500], [0.655, 0.845, 0.500], [0.845, 0.345, 0.500], [0.000, 0.000, 0.000], [0.500, 0.500, 0.000]]
}